1.
Here is crystalline SrMg6Ni at its relaxed geometry from the Alexandria database. Energies are from PBE.

Cell lengths 4.915, 7.357, 7.357 Å; angles 48.00, 90.00, 90.00 degrees
Atoms (fractional coordinates):
Sr  0.000  0.000  0.000
Mg  0.000  0.497  0.986
Mg  0.000  0.986  0.497
Mg  0.500  0.139  0.615
Mg  0.500  0.169  0.169
Mg  0.500  0.590  0.590
Mg  0.500  0.615  0.139
Ni  0.000  0.398  0.398

SG: No. 38
E_tot: -16.4 eV per cell
E above lowest polymorph: 0.0132 eV per atom
Formation energy: 0.077 eV per atom


2.
Here is crystalline TiCuIrPd at its relaxed geometry from the Alexandria database. Energies are from PBE.

Cell lengths 4.330, 4.330, 4.330 Å; angles 60.00, 60.00, 60.00 degrees
Atoms (fractional coordinates):
Ti  0.000  0.000  0.000
Cu  0.500  0.500  0.500
Ir  0.250  0.250  0.250
Pd  0.750  0.750  0.750

SG: No. 216
E_tot: -28.0 eV per cell
Formation energy: -0.483 eV per atom


3.
Here is crystalline PmPuP2 at its relaxed geometry from the Alexandria database. Energies are from PBE.

Cell lengths 3.482, 3.482, 6.991 Å; angles 90.00, 90.00, 90.00 degrees
Atoms (fractional coordinates):
Pm  0.000  0.000  0.000
Pu  0.000  0.000  0.500
P  0.500  0.500  0.260
P  0.500  0.500  0.740

SG: No. 123
E_tot: -33.8 eV per cell
E above lowest polymorph: 0.3894 eV per atom
Formation energy: -0.966 eV per atom


4.
Here is crystalline CePrTe2 at its relaxed geometry from the Alexandria database. Energies are from PBE.

Cell lengths 5.493, 5.493, 5.493 Å; angles 60.00, 60.00, 60.00 degrees
Atoms (fractional coordinates):
Ce  0.000  0.000  0.000
Pr  0.500  0.500  0.500
Te  0.250  0.250  0.250
Te  0.750  0.750  0.750

SG: No. 225
E_tot: -22.2 eV per cell
E above lowest polymorph: 0.1226 eV per atom
Raw formation energy: -1.289 eV per atom


5.
Here is crystalline Li3HO at its relaxed geometry from the Alexandria database. Energies are from PBE.

Cell lengths 3.725, 3.725, 3.725 Å; angles 90.00, 90.00, 90.00 degrees
Atoms (fractional coordinates):
Li  0.000  0.000  0.500
Li  0.000  0.500  0.000
Li  0.500  0.000  0.000
H  0.500  0.500  0.500
O  0.000  0.000  0.000

SG: No. 221
E_tot: -19.9 eV per cell
E above lowest polymorph: 0.0125 eV per atom


6.
Here is crystalline Li12Cd5Ag2 at its relaxed geometry from the Alexandria database. Energies are from PBE.

Cell lengths 7.562, 7.562, 6.911 Å; angles 90.80, 90.80, 62.33 degrees
Atoms (fractional coordinates):
Li  0.053  0.053  0.318
Li  0.078  0.670  0.327
Li  0.160  0.536  0.756
Li  0.330  0.922  0.673
Li  0.416  0.416  0.113
Li  0.464  0.840  0.244
Li  0.536  0.160  0.756
Li  0.584  0.584  0.887
Li  0.670  0.078  0.327
Li  0.840  0.464  0.244
Li  0.922  0.330  0.673
Li  0.947  0.947  0.682
Cd  0.202  0.202  0.002
Cd  0.261  0.261  0.436
Cd  0.500  0.500  0.500
Cd  0.739  0.739  0.564
Cd  0.798  0.798  0.998
Ag  0.188  0.812  0.000
Ag  0.812  0.188  0.000

SG: No. 12
E_tot: -36.4 eV per cell
E above lowest polymorph: 0.0133 eV per atom
Formation energy: -0.164 eV per atom


7.
Here is crystalline PrSb4Pd15 at its relaxed geometry from the Alexandria database. Energies are from PBE.

Cell lengths 4.115, 4.115, 20.190 Å; angles 90.00, 90.00, 90.00 degrees
Atoms (fractional coordinates):
Pr  0.000  0.000  0.000
Sb  0.000  0.000  0.203
Sb  0.000  0.000  0.401
Sb  0.000  0.000  0.599
Sb  0.000  0.000  0.797
Pd  0.000  0.500  0.108
Pd  0.000  0.500  0.304
Pd  0.000  0.500  0.500
Pd  0.000  0.500  0.696
Pd  0.000  0.500  0.892
Pd  0.500  0.000  0.108
Pd  0.500  0.000  0.304
Pd  0.500  0.000  0.500
Pd  0.500  0.000  0.696
Pd  0.500  0.000  0.892
Pd  0.500  0.500  0.000
Pd  0.500  0.500  0.208
Pd  0.500  0.500  0.402
Pd  0.500  0.500  0.598
Pd  0.500  0.500  0.792

SG: No. 123
E_tot: -107.9 eV per cell
Raw formation energy: -0.438 eV per atom


8.
Here is crystalline LuPuPd at its relaxed geometry from the Alexandria database. Energies are from PBE.

Cell lengths 6.545, 6.545, 6.545 Å; angles 149.51, 149.51, 43.66 degrees
Atoms (fractional coordinates):
Lu  0.000  0.000  0.000
Pu  0.714  0.714  0.000
Pd  0.375  0.375  0.000

SG: No. 107
E_tot: -25.2 eV per cell
Formation energy: -0.383 eV per atom


9.
Here is crystalline ZrScCu2 at its relaxed geometry from the Alexandria database. Energies are from PBE.

Cell lengths 5.606, 5.606, 5.606 Å; angles 146.99, 132.76, 58.83 degrees
Atoms (fractional coordinates):
Zr  0.000  0.000  0.000
Sc  0.723  0.223  0.500
Cu  0.258  0.758  0.500
Cu  0.454  0.454  0.000

SG: No. 44
E_tot: -23.4 eV per cell
E above lowest polymorph: 0.1060 eV per atom
Formation energy: -0.075 eV per atom


10.
Here is crystalline Ti4GaSb at its relaxed geometry from the Alexandria database. Energies are from PBE.

Cell lengths 3.528, 7.161, 17.020 Å; angles 90.00, 90.04, 90.00 degrees
Atoms (fractional coordinates):
Ti  0.000  0.061  0.074
Ti  0.000  0.439  0.574
Ti  0.000  0.561  0.426
Ti  0.000  0.939  0.926
Ti  0.001  0.617  0.215
Ti  0.001  0.883  0.715
Ti  0.500  0.198  0.659
Ti  0.500  0.235  0.470
Ti  0.500  0.265  0.970
Ti  0.500  0.302  0.159
Ti  0.500  0.698  0.841
Ti  0.500  0.735  0.030
Ti  0.500  0.765  0.530
Ti  0.500  0.802  0.341
Ti  0.999  0.117  0.285
Ti  0.999  0.383  0.785
Ga  0.000  0.047  0.570
Ga  0.000  0.453  0.070
Ga  0.000  0.547  0.930
Ga  0.000  0.953  0.430
Sb  0.500  0.087  0.815
Sb  0.500  0.413  0.315
Sb  0.500  0.587  0.685
Sb  0.500  0.913  0.185

SG: No. 14
E_tot: -163.8 eV per cell
E above lowest polymorph: 0.0000 eV per atom
Raw formation energy: -0.368 eV per atom


11.
Here is crystalline ZrNb2Tc at its relaxed geometry from the Alexandria database. Energies are from PBE.

Cell lengths 4.657, 4.657, 4.657 Å; angles 60.00, 60.00, 60.00 degrees
Atoms (fractional coordinates):
Zr  0.000  0.000  0.000
Nb  0.250  0.250  0.250
Nb  0.750  0.750  0.750
Tc  0.500  0.500  0.500

SG: No. 225
E_tot: -39.4 eV per cell
E above lowest polymorph: 0.1398 eV per atom
Formation energy: -0.079 eV per atom


12.
Here is crystalline CoIrN at its relaxed geometry from the Alexandria database. Energies are from PBE.

Cell lengths 2.728, 4.111, 4.111 Å; angles 56.15, 90.00, 90.00 degrees
Atoms (fractional coordinates):
Co  0.000  0.000  0.000
Ir  0.500  0.697  0.697
N  0.500  0.179  0.179

SG: No. 38
E_tot: -23.0 eV per cell
E above lowest polymorph: 0.1942 eV per atom
Raw formation energy: 0.436 eV per atom


13.
Here is crystalline TiNbIr2 at its relaxed geometry from the Alexandria database. Energies are from PBE.

Cell lengths 4.092, 4.092, 3.745 Å; angles 90.00, 90.00, 90.00 degrees
Atoms (fractional coordinates):
Ti  0.000  0.000  0.000
Nb  0.500  0.500  0.000
Ir  0.000  0.500  0.500
Ir  0.500  0.000  0.500

SG: No. 123
E_tot: -38.2 eV per cell
Formation energy: -0.632 eV per atom


14.
Here is crystalline RbMgAsO4 at its relaxed geometry from the Alexandria database. Energies are from PBE.

Cell lengths 5.548, 5.752, 8.318 Å; angles 90.00, 90.21, 90.00 degrees
Atoms (fractional coordinates):
Rb  0.226  0.250  0.477
Rb  0.774  0.750  0.523
Mg  0.130  0.250  0.981
Mg  0.870  0.750  0.019
As  0.305  0.750  0.216
As  0.695  0.250  0.784
O  0.139  0.523  0.132
O  0.139  0.977  0.132
O  0.272  0.750  0.419
O  0.397  0.250  0.829
O  0.603  0.750  0.171
O  0.728  0.250  0.581
O  0.861  0.023  0.868
O  0.861  0.477  0.868

SG: No. 11
E_tot: -80.9 eV per cell
Raw formation energy: -1.916 eV per atom


15.
Here is crystalline ZnHgS2 at its relaxed geometry from the Alexandria database. Energies are from PBE.

Cell lengths 10.577, 10.577, 4.520 Å; angles 90.00, 90.00, 159.34 degrees
Atoms (fractional coordinates):
Zn  0.065  0.935  0.750
Zn  0.935  0.065  0.250
Hg  0.316  0.684  0.750
Hg  0.684  0.316  0.250
S  0.049  0.951  0.250
S  0.180  0.820  0.750
S  0.820  0.180  0.250
S  0.951  0.049  0.750

SG: No. 63
E_tot: -19.6 eV per cell
Raw formation energy: 0.002 eV per atom


16.
Here is crystalline Pm6NdHo12 at its relaxed geometry from the Alexandria database. Energies are from PBE.

Cell lengths 8.723, 8.723, 8.723 Å; angles 98.68, 98.68, 98.68 degrees
Atoms (fractional coordinates):
Pm  0.155  0.599  0.599
Pm  0.401  0.401  0.846
Pm  0.401  0.845  0.401
Pm  0.599  0.154  0.599
Pm  0.599  0.599  0.155
Pm  0.845  0.401  0.401
Nd  0.500  0.500  0.500
Ho  0.000  0.257  0.743
Ho  0.000  0.743  0.257
Ho  0.144  0.144  0.418
Ho  0.144  0.418  0.144
Ho  0.257  0.000  0.743
Ho  0.257  0.743  0.000
Ho  0.418  0.144  0.144
Ho  0.582  0.856  0.856
Ho  0.743  0.000  0.257
Ho  0.743  0.257  0.000
Ho  0.856  0.582  0.856
Ho  0.856  0.856  0.582

SG: No. 166
E_tot: -84.2 eV per cell
E above lowest polymorph: 0.0978 eV per atom
Formation energy: 0.213 eV per atom


17.
Here is crystalline CoGe at its relaxed geometry from the Alexandria database. Energies are from PBE.

Cell lengths 6.083, 6.083, 6.083 Å; angles 109.47, 109.47, 109.47 degrees
Atoms (fractional coordinates):
Co  0.000  0.000  0.756
Co  0.000  0.756  0.000
Co  0.244  0.244  0.244
Co  0.756  0.000  0.000
Ge  0.000  0.000  0.391
Ge  0.000  0.391  0.000
Ge  0.391  0.000  0.000
Ge  0.609  0.609  0.609

SG: No. 217
E_tot: -44.3 eV per cell
Formation energy: 0.320 eV per atom


18.
Here is crystalline PmNdAu3 at its relaxed geometry from the Alexandria database. Energies are from PBE.

Cell lengths 9.582, 6.465, 7.814 Å; angles 90.00, 91.11, 90.00 degrees
Atoms (fractional coordinates):
Pm  0.084  0.166  0.320
Pm  0.084  0.334  0.820
Pm  0.916  0.666  0.180
Pm  0.916  0.834  0.680
Nd  0.407  0.658  0.814
Nd  0.407  0.842  0.314
Nd  0.593  0.158  0.686
Nd  0.593  0.342  0.186
Au  0.132  0.626  0.474
Au  0.132  0.874  0.974
Au  0.247  0.004  0.630
Au  0.247  0.496  0.130
Au  0.373  0.137  0.968
Au  0.373  0.363  0.468
Au  0.627  0.637  0.532
Au  0.627  0.863  0.032
Au  0.753  0.504  0.870
Au  0.753  0.996  0.370
Au  0.868  0.126  0.026
Au  0.868  0.374  0.526

SG: No. 14
E_tot: -92.4 eV per cell
E above lowest polymorph: 0.0000 eV per atom
Formation energy: -0.750 eV per atom


19.
Here is crystalline SmAl3Ag at its relaxed geometry from the Alexandria database. Energies are from PBE.

Cell lengths 6.407, 6.407, 5.842 Å; angles 90.00, 90.00, 120.00 degrees
Atoms (fractional coordinates):
Sm  0.333  0.667  0.250
Sm  0.667  0.333  0.750
Al  0.197  0.395  0.750
Al  0.197  0.803  0.750
Al  0.395  0.197  0.250
Al  0.605  0.803  0.750
Al  0.803  0.197  0.250
Al  0.803  0.605  0.250
Ag  0.000  0.000  0.000
Ag  0.000  0.000  0.500

SG: No. 194
E_tot: -39.8 eV per cell
E above lowest polymorph: 0.1758 eV per atom
Formation energy: -0.218 eV per atom


20.
Here is crystalline TcSbSN2 at its relaxed geometry from the Alexandria database. Energies are from PBE.

Cell lengths 3.914, 3.914, 4.977 Å; angles 90.00, 90.00, 90.00 degrees
Atoms (fractional coordinates):
Tc  0.000  0.000  0.000
Sb  0.500  0.500  0.500
S  0.000  0.000  0.500
N  0.000  0.500  0.000
N  0.500  0.000  0.000

SG: No. 123
E_tot: -32.2 eV per cell
E above lowest polymorph: 0.0000 eV per atom
Raw formation energy: 0.606 eV per atom


21.
Here is crystalline LaHo6Tm3 at its relaxed geometry from the Alexandria database. Energies are from PBE.

Cell lengths 10.954, 10.954, 6.217 Å; angles 90.00, 90.00, 121.81 degrees
Atoms (fractional coordinates):
La  0.211  0.789  0.500
La  0.789  0.211  0.000
Ho  0.016  0.438  0.347
Ho  0.049  0.951  0.794
Ho  0.286  0.374  0.202
Ho  0.312  0.688  0.066
Ho  0.374  0.286  0.702
Ho  0.438  0.016  0.847
Ho  0.562  0.984  0.347
Ho  0.626  0.714  0.202
Ho  0.688  0.312  0.566
Ho  0.714  0.626  0.702
Ho  0.951  0.049  0.294
Ho  0.984  0.562  0.847
Tm  0.077  0.292  0.755
Tm  0.292  0.077  0.255
Tm  0.386  0.614  0.600
Tm  0.614  0.386  0.100
Tm  0.708  0.923  0.755
Tm  0.923  0.708  0.255

SG: No. 36
E_tot: -88.6 eV per cell
E above lowest polymorph: 0.0000 eV per atom
Formation energy: 0.152 eV per atom


22.
Here is crystalline Ho2ErPt at its relaxed geometry from the Alexandria database. Energies are from PBE.

Cell lengths 3.558, 3.558, 8.296 Å; angles 90.00, 90.00, 90.00 degrees
Atoms (fractional coordinates):
Ho  0.000  0.000  0.197
Ho  0.000  0.000  0.803
Er  0.500  0.500  0.500
Pt  0.500  0.500  0.000

SG: No. 123
E_tot: -22.1 eV per cell
E above lowest polymorph: 0.1384 eV per atom
Formation energy: -0.593 eV per atom